Record 1
! GGA-PBE DyZrRu, relaxed; values from VASP
! **Spin magnetization**: 1.0 μB/f.u.
! **Formation energy**: -276 meV per atom
! **Crystal system**: tetragonal
&SYSTEM
  ibrav = 0, nat = 3, ntyp = 3
/
ATOMIC_SPECIES
Zr 91.22 Zr.upf
Dy 162.50 Dy.upf
Ru 101.07 Ru.upf
CELL_PARAMETERS angstrom
-3.3107 0.3884 -0.3871
0.3312 -0.4719 -3.3059
0.7380 -5.6334 2.5813
ATOMIC_POSITIONS angstrom
Zr -0.4565 -3.4461 0.4462
Dy -0.0275 -0.2076 0.0269
Ru -1.7575 -2.0632 -1.5848

***

Record 2
! GGA-PBE SiAg2S3, relaxed; values from VASP
! **Spin magnetization**: 0.0 μB/f.u.
! **Uncorrected formation energy**: -8.487 kcal/mol of atoms
! **Crystal system**: monoclinic
&SYSTEM
  ibrav = 0, nat = 24, ntyp = 3
/
ATOMIC_SPECIES
S 32.06 S.upf
Ag 107.87 Ag.upf
Si 28.09 Si.upf
CELL_PARAMETERS angstrom
-3.7698 0.7837 -5.4795
2.1226 -5.9082 -2.3053
-7.0243 -10.9739 3.2630
ATOMIC_POSITIONS angstrom
S -1.9155 -2.0713 -1.3691
S -3.5611 -8.4742 -5.2454
S -5.9863 -11.6950 0.3758
S -2.6852 -4.4033 -4.8976
S -5.7410 -15.6402 0.3182
S -6.7560 -14.0271 -3.1527
S -2.4523 -6.2126 -1.2240
S -5.1104 -7.6242 0.7235
S -6.2192 -9.8857 -3.2978
S -2.9305 -0.4581 -4.8400
S -2.8292 -10.0285 -2.1859
S -5.8422 -6.0699 -2.3359
Ag -7.5253 -12.2295 -1.5571
Ag -3.5957 -9.5767 0.2113
Ag -5.0758 -6.5216 -4.7332
Ag -2.1101 -6.7915 -3.8058
Ag -1.1462 -3.8689 -2.9647
Ag -7.3288 -11.9237 -4.6549
Ag -1.3427 -4.1747 0.1331
Ag -6.5614 -9.3068 -0.7160
Si -4.1910 -9.9737 -3.9002
Si -7.2724 -11.7613 2.0567
Si -4.4805 -6.1247 -0.6217
Si -1.3991 -4.3370 -6.5785

***

Record 3
! GGA-PBE MgCrP2S, relaxed; values from VASP
! **Spin magnetization**: 3.6 μB/f.u.
! **Uncorrected formation energy**: 20.104 kcal/mol of atoms
! **Crystal system**: tetragonal
&SYSTEM
  ibrav = 0, nat = 5, ntyp = 4
/
ATOMIC_SPECIES
P 30.97 P.upf
S 32.06 S.upf
Mg 24.30 Mg.upf
Cr 52.00 Cr.upf
CELL_PARAMETERS angstrom
-0.1652 0.8411 4.6651
-2.1692 -4.1639 0.6740
4.2351 -2.1201 0.5322
ATOMIC_POSITIONS angstrom
P -0.0826 0.4206 2.3325
P -1.0846 -2.0820 0.3370
S 2.1175 -1.0600 0.2661
Mg 0.0000 0.0000 0.0000
Cr 0.9504 -2.7214 2.9356

***

| no. | energy (eV/atom) |
| --- | --- |
| 1 | -7.752 |
| 2 | -4.286 |
| 3 | -4.361 |